Entry from Alexandria: a relaxed La11Dy9Tm4 crystal (PBE).

Cell and atoms, written as POSCAR:
```
La11Dy9Tm4
1.0
8.5960 -12.9835 0.0000
8.5960 12.9835 0.0000
0.0000 0.0000 3.6888
La Dy Tm
11 9 4
Direct
0.0000 0.0000 0.0000 La
0.0426 0.4042 0.0000 La
0.1598 0.8402 0.0000 La
0.2939 0.2939 0.0000 La
0.3687 0.6313 0.0000 La
0.4042 0.0426 0.0000 La
0.5958 0.9574 0.0000 La
0.6313 0.3687 0.0000 La
0.7061 0.7061 0.0000 La
0.8402 0.1598 0.0000 La
0.9574 0.5958 0.0000 La
0.0701 0.2146 0.5000 Dy
0.1666 0.6307 0.5000 Dy
0.2146 0.0701 0.5000 Dy
0.3693 0.8334 0.5000 Dy
0.5000 0.5000 0.5000 Dy
0.6307 0.1666 0.5000 Dy
0.7854 0.9299 0.5000 Dy
0.8334 0.3693 0.5000 Dy
0.9299 0.7854 0.5000 Dy
0.2404 0.4448 0.5000 Tm
0.4448 0.2404 0.5000 Tm
0.5552 0.7596 0.5000 Tm
0.7596 0.5552 0.5000 Tm
```

Properties
- DOS at the Fermi energy (states/eV/cell) = 34.7

Entry from Alexandria: a relaxed LaDy3Tm6 crystal (PBE).

Cell and atoms, written as POSCAR:
```
LaDy3Tm6
1.0
4.8828 2.8191 3.8574
-4.8828 2.8191 3.8574
0.0000 -5.6382 3.8574
La Dy Tm
1 3 6
Direct
0.0000 0.0000 0.0000 La
0.2543 0.2543 0.2543 Dy
0.5007 0.5007 0.5007 Dy
0.7485 0.7485 0.7485 Dy
0.1699 0.8282 0.4982 Tm
0.3348 0.6635 0.9982 Tm
0.4982 0.1699 0.8282 Tm
0.6635 0.9982 0.3348 Tm
0.8282 0.4982 0.1699 Tm
0.9982 0.3348 0.6635 Tm
```

Properties
- DOS at the Fermi energy (states/eV/cell) = 21.0

Entry from Alexandria: a relaxed La6DyTm2 crystal (PBE).

Cell and atoms, written as POSCAR:
```
La6DyTm2
1.0
4.7303 -8.9151 0.0000
4.7303 8.9151 0.0000
0.0000 0.0000 3.6936
La Dy Tm
6 1 2
Direct
0.0054 0.3387 0.0000 La
0.1776 0.1776 0.5000 La
0.3387 0.0054 0.0000 La
0.6613 0.9946 0.0000 La
0.8224 0.8224 0.5000 La
0.9946 0.6613 0.0000 La
0.5000 0.5000 0.0000 Dy
0.3278 0.6722 0.5000 Tm
0.6722 0.3278 0.5000 Tm
```

Properties
- DOS at the Fermi energy (states/eV/cell) = 13.2

Entry from Alexandria: a relaxed La6Dy8Tm crystal (PBE).

Cell and atoms, written as POSCAR:
```
La6Dy8Tm
1.0
4.5694 2.6382 7.0659
-4.5694 2.6382 7.0659
0.0000 -5.2763 7.0659
La Dy Tm
6 8 1
Direct
0.0356 0.5932 0.7329 La
0.2671 0.9644 0.4068 La
0.4068 0.2671 0.9644 La
0.5932 0.7329 0.0356 La
0.7329 0.0356 0.5932 La
0.9644 0.4068 0.2671 La
0.0771 0.0771 0.0771 Dy
0.2081 0.6138 0.2617 Dy
0.2617 0.2081 0.6138 Dy
0.3862 0.7383 0.7919 Dy
0.6138 0.2617 0.2081 Dy
0.7383 0.7919 0.3862 Dy
0.7919 0.3862 0.7383 Dy
0.9229 0.9229 0.9229 Dy
0.5000 0.5000 0.5000 Tm
```

Properties
- DOS at the Fermi energy (states/eV/cell) = 23.3

Entry from Alexandria: a relaxed La4DyTm crystal (PBE).

Cell and atoms, written as POSCAR:
```
La4DyTm
1.0
3.0353 -5.7306 0.0000
3.0353 5.7306 0.0000
0.0000 0.0000 6.0577
La Dy Tm
4 1 1
Direct
0.1560 0.8440 0.0000 La
0.3441 0.6559 0.5000 La
0.6559 0.3441 0.5000 La
0.8440 0.1560 0.0000 La
0.0000 0.0000 0.5000 Dy
0.5000 0.5000 0.0000 Tm
```

Properties
- DOS at the Fermi energy (states/eV/cell) = 11.9

Entry from Alexandria: a relaxed LaDy3Tm7 crystal (PBE).

Cell and atoms, written as POSCAR:
```
LaDy3Tm7
1.0
6.9913 0.0000 0.0000
-3.4956 6.0546 0.0000
0.0000 0.0000 8.5711
La Dy Tm
1 3 7
Direct
0.0000 0.0000 0.0000 La
0.3351 0.1676 0.6615 Dy
0.8324 0.1676 0.6615 Dy
0.8324 0.6649 0.6615 Dy
0.1662 0.3325 0.3305 Tm
0.1662 0.8338 0.3305 Tm
0.5010 0.0021 0.0010 Tm
0.5010 0.4990 0.0010 Tm
0.6667 0.3333 0.3294 Tm
0.6675 0.8338 0.3305 Tm
0.9979 0.4990 0.0010 Tm
```

Properties
- DOS at the Fermi energy (states/eV/cell) = 17.6

Entry from Alexandria: a relaxed LaDy4Tm crystal (PBE).

Cell and atoms, written as POSCAR:
```
LaDy4Tm
1.0
0.0000 4.6684 4.6684
4.6684 0.0000 4.6684
4.6684 4.6684 0.0000
La Dy Tm
1 4 1
Direct
0.0000 0.0000 0.0000 La
0.3755 0.3755 0.3755 Dy
0.3755 0.3755 0.8736 Dy
0.3755 0.8736 0.3755 Dy
0.8736 0.3755 0.3755 Dy
0.7500 0.7500 0.7500 Tm
```

Properties
- DOS at the Fermi energy (states/eV/cell) = 11.2

Entry from Alexandria: a relaxed La3Dy6Tm crystal (PBE).

Cell and atoms, written as POSCAR:
```
La3Dy6Tm
1.0
5.5173 -9.5342 0.0000
5.5173 9.5342 0.0000
0.0000 0.0000 6.3691
La Dy Tm
6 12 2
Direct
0.1125 0.8875 0.5000 La
0.2133 0.4406 0.1022 La
0.4406 0.2133 0.6022 La
0.5594 0.7867 0.1022 La
0.7867 0.5594 0.6022 La
0.8875 0.1125 0.0000 La
0.0303 0.4518 0.7005 Dy
0.1219 0.2148 0.5189 Dy
0.2148 0.1219 0.0189 Dy
0.2258 0.7742 0.9271 Dy
0.4518 0.0303 0.2005 Dy
0.4618 0.5382 0.6908 Dy
0.5382 0.4618 0.1908 Dy
0.5482 0.9697 0.7005 Dy
0.7742 0.2258 0.4271 Dy
0.7852 0.8781 0.5189 Dy
0.8781 0.7852 0.0189 Dy
0.9697 0.5482 0.2005 Dy
0.3052 0.6948 0.4465 Tm
0.6948 0.3052 0.9465 Tm
```

Properties
- DOS at the Fermi energy (states/eV/cell) = 28.3

Entry from Alexandria: a relaxed La3Dy4Tm crystal (PBE).

Cell and atoms, written as POSCAR:
```
La3Dy4Tm
1.0
7.2267 0.0000 0.0000
0.0000 10.2281 0.0000
0.0000 0.0000 7.1878
La Dy Tm
6 8 2
Direct
0.0000 0.0000 0.0000 La
0.0000 0.5000 0.0000 La
0.2500 0.2500 0.2570 La
0.5000 0.0000 0.0000 La
0.5000 0.5000 0.0000 La
0.7500 0.7500 0.7430 La
0.0000 0.0000 0.5000 Dy
0.0000 0.5000 0.5000 Dy
0.2500 0.7500 0.2552 Dy
0.2500 0.7500 0.7439 Dy
0.5000 0.0000 0.5000 Dy
0.5000 0.5000 0.5000 Dy
0.7500 0.2500 0.2561 Dy
0.7500 0.2500 0.7448 Dy
0.2500 0.2500 0.7467 Tm
0.7500 0.7500 0.2533 Tm
```

Properties
- DOS at the Fermi energy (states/eV/cell) = 20.5

Entry from Alexandria: a relaxed LaDy7Tm5 crystal (PBE).

Cell and atoms, written as POSCAR:
```
LaDy7Tm5
1.0
-3.3104 5.5954 5.7464
3.3104 -5.5954 5.7464
3.3104 5.5954 -5.7464
La Dy Tm
1 7 5
Direct
0.0000 0.0000 0.0000 La
0.2237 0.5544 0.6693 Dy
0.2964 0.2964 0.0000 Dy
0.3773 0.0514 0.3259 Dy
0.6066 0.6066 0.0000 Dy
0.7256 0.0514 0.6741 Dy
0.7927 0.2927 0.5000 Dy
0.8852 0.5544 0.3307 Dy
0.0338 0.0391 0.4704 Tm
0.0338 0.5633 0.9947 Tm
0.3077 0.8077 0.5000 Tm
0.5687 0.0391 0.0053 Tm
0.5687 0.5633 0.5296 Tm
```

Properties
- DOS at the Fermi energy (states/eV/cell) = 27.4

| no. | calculated total energy (eV/atom) | ΔE_f (kJ/mol of atoms) |
| --- | --- | --- |
| 1 | -4.661 | 7 |
| 2 | -4.253 | 29 |
| 3 | -4.672 | 11 |
| 4 | -4.612 | 11 |
| 5 | -4.704 | 9 |
| 6 | -4.344 | 20 |
| 7 | -4.367 | 26 |
| 8 | -4.534 | 15 |
| 9 | -4.688 | 2 |
| 10 | -4.331 | 24 |